Record 1
DFT (PBE-GGA) results for an optimized crystal structure of NiMo2Br.

abc: 3.210 3.210 6.602
angles: 90.00 90.00 90.00
Space group P4/mmm (No. 123)
Asymmetric unit:
Ni 0.000 0.000 0.000 (multiplicity 1)
Mo 0.500 0.500 0.181 (multiplicity 2)
Br 0.000 0.000 0.500 (multiplicity 1)

Calculated volume (Å³/f.u.): 68.0
Formation energy from raw total energies (eV/atom): 0.549
Energy relative to the lowest polymorph listed for this composition (eV per atom): 0.195
M_tot (μB/f.u.): 0.12
D(E_F) (states/eV per cell): 5.578

Record 2
DFT (PBE-GGA) results for an optimized crystal structure of Ca2Zn2In.

abc: 3.693 3.693 19.312
angles: 90.00 90.00 90.00
Space group I4/mmm (No. 139)
Asymmetric unit:
Ca 0.000 0.000 0.109 (multiplicity 4)
Zn 0.000 0.500 0.250 (multiplicity 4)
In 0.000 0.000 0.500 (multiplicity 2)

Calculated volume (Å³/f.u.): 131.7
Energy of formation from the pure elements (eV per atom): -0.188
M_tot (μB/f.u.): 0.00
D(E_F) (states/eV per cell): 11.128

Record 3
DFT (PBE-GGA) results for an optimized crystal structure of Rb2PRuO6.

abc: 5.168 5.168 11.112
angles: 90.00 90.00 90.00
Space group I4/m (No. 87)
Asymmetric unit:
Rb 0.000 0.500 0.250 (multiplicity 4)
P 0.000 0.000 0.000 (multiplicity 2)
Ru 0.000 0.000 0.500 (multiplicity 2)
O 0.000 0.000 0.336 (multiplicity 4)
O 0.149 0.280 0.000 (multiplicity 8)

Calculated volume (Å³/f.u.): 148.4
Formation energy from raw total energies (eV/atom): -1.235
M_tot (μB/f.u.): 1.00
D(E_F) (states/eV per cell): 9.517